Model P:
# Zr2TlP GGA-PBE optimized geometry
# Calculated volume   81.5 Å³/cell
# Space-group type   Cmmm
# Total magnetic moment   0.00 μB/f.u.
data_Zr2TlP
_symmetry_space_group_name_H-M 'P 1'
_symmetry_Int_Tables_number 1
_cell_length_a 4.853
_cell_length_b 4.853
_cell_length_c 3.536
_cell_angle_alpha 90.00
_cell_angle_beta 90.00
_cell_angle_gamma 101.85
loop_
_symmetry_equiv_pos_as_xyz
'x,y,z'
loop_
_atom_site_label
_atom_site_type_symbol
_atom_site_fract_x
_atom_site_fract_y
_atom_site_fract_z
Zr1 Zr 0.000 0.500 0.000
Zr2 Zr 0.500 0.000 0.000
Tl1 Tl 0.000 0.000 0.500
P1 P 0.500 0.500 0.500

---

Model Q:
# Zr2TlP GGA-PBE optimized geometry
# Calculated volume   94.4 Å³/cell
# Space-group type   P4mm
# Total magnetic moment   0.00 μB/f.u.
data_Zr2TlP
_symmetry_space_group_name_H-M 'P 1'
_symmetry_Int_Tables_number 1
_cell_length_a 3.558
_cell_length_b 3.558
_cell_length_c 7.455
_cell_angle_alpha 90.00
_cell_angle_beta 90.00
_cell_angle_gamma 90.00
loop_
_symmetry_equiv_pos_as_xyz
'x,y,z'
loop_
_atom_site_label
_atom_site_type_symbol
_atom_site_fract_x
_atom_site_fract_y
_atom_site_fract_z
Zr1 Zr 0.000 0.000 0.000
Zr2 Zr 0.500 0.500 0.274
Tl1 Tl 0.500 0.500 0.742
P1 P 0.000 0.000 0.362

---

Preferred: model Q; penalty for the next structure: 11.8 kJ/mol of atoms.

---

Model P:
# YTmP GGA-PBE optimized geometry
# Calculated volume   81.8 Å³/cell
# Space-group type   P3m1
# Total magnetic moment   0.04 μB/f.u.
data_YTmP
_symmetry_space_group_name_H-M 'P 1'
_symmetry_Int_Tables_number 1
_cell_length_a 3.878
_cell_length_b 3.878
_cell_length_c 6.283
_cell_angle_alpha 90.00
_cell_angle_beta 90.00
_cell_angle_gamma 120.00
loop_
_symmetry_equiv_pos_as_xyz
'x,y,z'
loop_
_atom_site_label
_atom_site_type_symbol
_atom_site_fract_x
_atom_site_fract_y
_atom_site_fract_z
Y1 Y 0.000 0.000 0.000
Tm1 Tm 0.333 0.667 0.501
P1 P 0.667 0.333 0.256

---

Model Q:
# YTmP GGA-PBE optimized geometry
# Calculated volume   153.2 Å³/cell
# Space-group type   P2_1/m
# Total magnetic moment   0.00 μB/f.u.
data_YTmP
_symmetry_space_group_name_H-M 'P 1'
_symmetry_Int_Tables_number 1
_cell_length_a 5.721
_cell_length_b 4.016
_cell_length_c 7.170
_cell_angle_alpha 90.00
_cell_angle_beta 111.56
_cell_angle_gamma 90.00
loop_
_symmetry_equiv_pos_as_xyz
'x,y,z'
loop_
_atom_site_label
_atom_site_type_symbol
_atom_site_fract_x
_atom_site_fract_y
_atom_site_fract_z
Y1 Y 0.219 0.250 0.423
Y2 Y 0.781 0.750 0.577
Tm1 Tm 0.232 0.250 0.945
Tm2 Tm 0.768 0.750 0.055
P1 P 0.319 0.750 0.711
P2 P 0.681 0.250 0.289

---

Preferred: model P; penalty for the next structure: 1.2 kJ/mol of atoms.

---

Model P:
# TmZr2P GGA-PBE optimized geometry
# Calculated volume   94.2 Å³/cell
# Space-group type   R3m
# Total magnetic moment   0.00 μB/f.u.
data_TmZr2P
_symmetry_space_group_name_H-M 'P 1'
_symmetry_Int_Tables_number 1
_cell_length_a 8.536
_cell_length_b 8.536
_cell_length_c 8.536
_cell_angle_alpha 24.52
_cell_angle_beta 24.52
_cell_angle_gamma 24.52
loop_
_symmetry_equiv_pos_as_xyz
'x,y,z'
loop_
_atom_site_label
_atom_site_type_symbol
_atom_site_fract_x
_atom_site_fract_y
_atom_site_fract_z
Tm1 Tm 0.000 0.000 0.000
Zr1 Zr 0.559 0.559 0.559
Zr2 Zr 0.773 0.773 0.773
P1 P 0.167 0.167 0.167

---

Model Q:
# TmZr2P GGA-PBE optimized geometry
# Calculated volume   100.2 Å³/cell
# Space-group type   R-3m
# Total magnetic moment   0.00 μB/f.u.
data_TmZr2P
_symmetry_space_group_name_H-M 'P 1'
_symmetry_Int_Tables_number 1
_cell_length_a 9.492
_cell_length_b 9.492
_cell_length_c 9.492
_cell_angle_alpha 21.45
_cell_angle_beta 21.45
_cell_angle_gamma 21.45
loop_
_symmetry_equiv_pos_as_xyz
'x,y,z'
loop_
_atom_site_label
_atom_site_type_symbol
_atom_site_fract_x
_atom_site_fract_y
_atom_site_fract_z
Tm1 Tm 0.000 0.000 0.000
Zr1 Zr 0.113 0.113 0.113
Zr2 Zr 0.887 0.887 0.887
P1 P 0.500 0.500 0.500

---

Preferred: model P; penalty for the next structure: 25.7 kJ/mol of atoms.

---

Model P:
# TmZrP2 GGA-PBE optimized geometry
# Calculated volume   159.6 Å³/cell
# Space-group type   I4_1/amd
# Total magnetic moment   0.00 μB/f.u.
data_TmZrP2
_symmetry_space_group_name_H-M 'P 1'
_symmetry_Int_Tables_number 1
_cell_length_a 6.641
_cell_length_b 6.641
_cell_length_c 6.641
_cell_angle_alpha 131.78
_cell_angle_beta 131.78
_cell_angle_gamma 70.57
loop_
_symmetry_equiv_pos_as_xyz
'x,y,z'
loop_
_atom_site_label
_atom_site_type_symbol
_atom_site_fract_x
_atom_site_fract_y
_atom_site_fract_z
Tm1 Tm 0.375 0.625 0.750
Tm2 Tm 0.625 0.375 0.250
Zr1 Zr 0.125 0.875 0.250
Zr2 Zr 0.875 0.125 0.750
P1 P 0.122 0.372 0.750
P2 P 0.372 0.122 0.250
P3 P 0.628 0.878 0.750
P4 P 0.878 0.628 0.250

---

Model Q:
# TmZrP2 GGA-PBE optimized geometry
# Calculated volume   79.8 Å³/cell
# Space-group type   R-3m
# Total magnetic moment   0.00 μB/f.u.
data_TmZrP2
_symmetry_space_group_name_H-M 'P 1'
_symmetry_Int_Tables_number 1
_cell_length_a 6.700
_cell_length_b 6.700
_cell_length_c 6.700
_cell_angle_alpha 33.08
_cell_angle_beta 33.08
_cell_angle_gamma 33.08
loop_
_symmetry_equiv_pos_as_xyz
'x,y,z'
loop_
_atom_site_label
_atom_site_type_symbol
_atom_site_fract_x
_atom_site_fract_y
_atom_site_fract_z
Tm1 Tm 0.000 0.000 0.000
Zr1 Zr 0.500 0.500 0.500
P1 P 0.247 0.247 0.247
P2 P 0.753 0.753 0.753

---

Preferred: model Q; penalty for the next structure: 1.8 kJ/mol of atoms.

---

Model P:
# ZrUP2 GGA-PBE optimized geometry
# Calculated volume   81.0 Å³/cell
# Space-group type   R3m
# Total magnetic moment   2.51 μB/f.u.
data_ZrUP2
_symmetry_space_group_name_H-M 'P 1'
_symmetry_Int_Tables_number 1
_cell_length_a 7.150
_cell_length_b 7.150
_cell_length_c 7.150
_cell_angle_alpha 30.02
_cell_angle_beta 30.02
_cell_angle_gamma 30.02
loop_
_symmetry_equiv_pos_as_xyz
'x,y,z'
loop_
_atom_site_label
_atom_site_type_symbol
_atom_site_fract_x
_atom_site_fract_y
_atom_site_fract_z
Zr1 Zr 0.000 0.000 0.000
U1 U 0.174 0.174 0.174
P1 P 0.415 0.415 0.415
P2 P 0.592 0.592 0.592

---

Model Q:
# ZrUP2 GGA-PBE optimized geometry
# Calculated volume   79.7 Å³/cell
# Space-group type   R-3m
# Total magnetic moment   2.03 μB/f.u.
data_ZrUP2
_symmetry_space_group_name_H-M 'P 1'
_symmetry_Int_Tables_number 1
_cell_length_a 6.679
_cell_length_b 6.679
_cell_length_c 6.679
_cell_angle_alpha 33.23
_cell_angle_beta 33.23
_cell_angle_gamma 33.23
loop_
_symmetry_equiv_pos_as_xyz
'x,y,z'
loop_
_atom_site_label
_atom_site_type_symbol
_atom_site_fract_x
_atom_site_fract_y
_atom_site_fract_z
Zr1 Zr 0.000 0.000 0.000
U1 U 0.500 0.500 0.500
P1 P 0.253 0.253 0.253
P2 P 0.747 0.747 0.747

---

Preferred: model Q; penalty for the next structure: 13.8 kJ/mol of atoms.

---

Model P:
# VPW3 GGA-PBE optimized geometry
# Calculated volume   87.2 Å³/cell
# Space-group type   Pm-3m
# Total magnetic moment   1.62 μB/f.u.
data_VPW3
_symmetry_space_group_name_H-M 'P 1'
_symmetry_Int_Tables_number 1
_cell_length_a 4.435
_cell_length_b 4.435
_cell_length_c 4.435
_cell_angle_alpha 90.00
_cell_angle_beta 90.00
_cell_angle_gamma 90.00
loop_
_symmetry_equiv_pos_as_xyz
'x,y,z'
loop_
_atom_site_label
_atom_site_type_symbol
_atom_site_fract_x
_atom_site_fract_y
_atom_site_fract_z
V1 V 0.000 0.000 0.000
P1 P 0.500 0.500 0.500
W1 W 0.000 0.500 0.500
W2 W 0.500 0.000 0.500
W3 W 0.500 0.500 0.000

---

Model Q:
# VPW3 GGA-PBE optimized geometry
# Calculated volume   94.2 Å³/cell
# Space-group type   Pm-3m
# Total magnetic moment   0.00 μB/f.u.
data_VPW3
_symmetry_space_group_name_H-M 'P 1'
_symmetry_Int_Tables_number 1
_cell_length_a 4.550
_cell_length_b 4.550
_cell_length_c 4.550
_cell_angle_alpha 90.00
_cell_angle_beta 90.00
_cell_angle_gamma 90.00
loop_
_symmetry_equiv_pos_as_xyz
'x,y,z'
loop_
_atom_site_label
_atom_site_type_symbol
_atom_site_fract_x
_atom_site_fract_y
_atom_site_fract_z
V1 V 0.000 0.000 0.000
P1 P 0.500 0.500 0.500
W1 W 0.000 0.000 0.500
W2 W 0.000 0.500 0.000
W3 W 0.500 0.000 0.000

---

Preferred: model P; penalty for the next structure: 94.9 kJ/mol of atoms.